! TbErAlPd | Alexandria via LeMat-Bulk | GGA-PBE | relaxed; values from VASP
! M_tot   0.000 μB per atom
! Space-group type   Amm2
! Polymorph energy (0 for the lowest one)   0.00 eV per formula unit
! Formation enthalpy at 0 K   -0.623 eV per atom
! DOS at the Fermi energy   3.579 states/eV/f.u.
&SYSTEM
  ibrav = 0, nat = 4, ntyp = 4
/
ATOMIC_SPECIES
Tb 158.93 Tb.upf
Er 167.26 Er.upf
Al 26.98 Al.upf
Pd 106.42 Pd.upf
CELL_PARAMETERS angstrom
4.468 0.000 0.000
0.000 1.883 5.569
0.000 -1.883 5.569
ATOMIC_POSITIONS crystal
Tb 0.000 0.000 0.000
Er 0.500 0.293 0.293
Al 0.000 0.719 0.719
Pd 0.500 0.578 0.578